No. 1
DyNpCo2O8: relaxed, PBE with a Hubbard U.

Calculated values
V = 158 Å³ per cell
DFT total energy = -7.565 eV/atom
Space-group type = I-4m2 (119)
Size of the total moment = 8.00 μB per cell
Crystal system = tetragonal

Lattice parameters (Å, degrees): 5.907 5.907 5.907 108.30 108.30 111.83
Fractional positions:
O  0.871  0.686  0.185
O  0.941  0.654  0.712
O  0.314  0.498  0.185
O  0.346  0.059  0.288
Dy  0.250  0.750  0.500
Co  0.500  0.500  0.000
Np  0.000  0.000  0.000
O  0.771  0.059  0.712
O  0.502  0.686  0.815
O  0.314  0.129  0.815
O  0.941  0.229  0.288
Co  0.750  0.250  0.500

No. 2
DyCoO3: relaxed, PBE with a Hubbard U.

Calculated values
V = 221 Å³ per cell
DFT total energy = -7.182 eV/atom
Space-group type = Pnma (62)
Size of the total moment = 7.97 μB per cell
Crystal system = orthorhombic

Lattice parameters (Å, degrees): 5.231 5.772 7.329 90.00 90.00 90.00
Fractional positions:
O  0.801  0.818  0.052
Co  0.500  0.000  0.000
Co  0.500  0.000  0.500
Co  0.000  0.500  0.000
O  0.301  0.682  0.552
O  0.389  0.969  0.250
Dy  0.476  0.413  0.750
Co  0.000  0.500  0.500
O  0.301  0.682  0.948
Dy  0.024  0.913  0.750
O  0.889  0.531  0.750
O  0.699  0.318  0.052
O  0.199  0.182  0.948
O  0.199  0.182  0.552
O  0.611  0.031  0.750
O  0.699  0.318  0.448
O  0.111  0.469  0.250
Dy  0.524  0.587  0.250
Dy  0.976  0.087  0.250
O  0.801  0.818  0.448

No. 3
Dy3Co5O12: relaxed, PBE with a Hubbard U.

Calculated values
V = 918 Å³ per cell
DFT total energy = -6.880 eV/atom
Space-group type = Ia-3d (230)
Size of the total moment = 47.76 μB per cell
Crystal system = cubic

Lattice parameters (Å, degrees): 10.606 10.606 10.606 109.47 109.47 109.47
Fractional positions:
O  0.826  0.906  0.028
Co  0.250  0.375  0.625
O  0.472  0.674  0.094
O  0.174  0.094  0.972
O  0.420  0.122  0.594
O  0.674  0.202  0.580
Co  0.000  0.000  0.500
O  0.298  0.878  0.972
Co  0.625  0.875  0.250
Dy  0.625  0.250  0.375
Co  0.875  0.625  0.750
Co  0.125  0.375  0.250
O  0.080  0.174  0.202
O  0.622  0.594  0.920
O  0.972  0.378  0.298
Co  0.500  0.000  0.000
O  0.378  0.406  0.080
O  0.528  0.202  0.122
O  0.906  0.826  0.528
O  0.174  0.080  0.702
O  0.528  0.326  0.906
Co  0.375  0.250  0.125
Dy  0.875  0.125  0.250
O  0.472  0.798  0.878
O  0.622  0.028  0.202
O  0.674  0.472  0.594
O  0.122  0.420  0.094
Co  0.125  0.750  0.375
O  0.594  0.972  0.674
O  0.202  0.528  0.622
O  0.326  0.528  0.406
Co  0.500  0.500  0.000
O  0.798  0.326  0.920
O  0.420  0.298  0.326
O  0.798  0.472  0.378
O  0.122  0.702  0.528
O  0.906  0.080  0.878
O  0.702  0.580  0.174
O  0.202  0.674  0.080
Co  0.000  0.000  0.000
O  0.580  0.878  0.406
Co  0.250  0.875  0.125
O  0.580  0.702  0.674
Dy  0.750  0.875  0.625
O  0.028  0.406  0.826
Co  0.875  0.250  0.625
O  0.080  0.906  0.378
O  0.378  0.972  0.798
Dy  0.250  0.625  0.875
O  0.594  0.622  0.420
O  0.406  0.378  0.580
Dy  0.125  0.875  0.750
Co  0.000  0.500  0.500
Co  0.500  0.500  0.500
Co  0.750  0.125  0.875
O  0.406  0.028  0.326
O  0.878  0.298  0.472
O  0.094  0.174  0.472
Dy  0.375  0.750  0.625
Dy  0.750  0.375  0.125
O  0.920  0.094  0.622
Co  0.625  0.750  0.875
Co  0.000  0.500  0.000
O  0.920  0.826  0.798
Dy  0.375  0.625  0.250
O  0.878  0.580  0.906
Dy  0.250  0.125  0.375
Co  0.375  0.125  0.750
Dy  0.875  0.750  0.125
O  0.028  0.622  0.702
O  0.094  0.920  0.122
Co  0.500  0.000  0.500
Dy  0.125  0.250  0.875
O  0.326  0.798  0.420
O  0.702  0.122  0.028
Dy  0.625  0.375  0.750
O  0.972  0.594  0.174
O  0.298  0.420  0.826
Co  0.750  0.625  0.375
O  0.826  0.920  0.298

No. 4
Dy4Co6O19: relaxed, PBE with a Hubbard U.

Calculated values
V = 302 Å³ per cell
DFT total energy = -6.604 eV/atom
Space-group type = I23 (197)
Size of the total moment = 8.05 μB per cell
Crystal system = cubic

Lattice parameters (Å, degrees): 7.323 7.323 7.323 109.47 109.47 109.47
Fractional positions:
O  0.639  0.675  0.393
Co  0.160  0.660  0.500
O  0.718  0.325  0.964
O  0.282  0.246  0.607
Co  0.500  0.840  0.340
O  0.036  0.361  0.754
O  0.000  0.349  0.349
Co  0.660  0.500  0.160
O  0.349  0.349  0.000
O  0.349  0.000  0.349
O  0.000  0.000  0.000
Co  0.340  0.500  0.840
Dy  0.326  0.326  0.326
Co  0.840  0.340  0.500
O  0.651  0.651  0.000
O  0.000  0.651  0.651
O  0.651  0.000  0.651
O  0.361  0.754  0.036
O  0.607  0.282  0.246
O  0.964  0.718  0.325
Dy  0.674  0.000  0.000
Dy  0.000  0.674  0.000
O  0.393  0.639  0.675
O  0.754  0.036  0.361
Co  0.500  0.160  0.660
O  0.325  0.964  0.718
O  0.246  0.607  0.282
O  0.675  0.393  0.639
Dy  0.000  0.000  0.674

No. 5
Dy2CoO: relaxed, PBE with a Hubbard U.

Calculated values
V = 80 Å³ per cell
DFT total energy = -5.591 eV/atom
Space-group type = R-3m (166)
Size of the total moment = 1.23 μB per cell
Crystal system = trigonal

Lattice parameters (Å, degrees): 3.357 3.357 8.461 78.56 78.56 60.00
Fractional positions:
Dy  0.890  0.890  0.330
Co  0.000  0.000  0.000
O  0.500  0.500  0.500
Dy  0.110  0.110  0.670

No. 6
Dy2CoO5: relaxed, PBE with a Hubbard U.

Calculated values
V = 427 Å³ per cell
DFT total energy = -7.395 eV/atom
Space-group type = Pnma (62)
Size of the total moment = 11.90 μB per cell
Crystal system = orthorhombic

Lattice parameters (Å, degrees): 3.708 10.302 11.191 90.00 90.00 90.00
Fractional positions:
O  0.750  0.280  0.461
O  0.750  0.741  0.380
O  0.250  0.759  0.880
O  0.750  0.780  0.039
O  0.750  0.241  0.120
Co  0.750  0.318  0.622
O  0.750  0.737  0.728
O  0.250  0.517  0.337
Co  0.250  0.182  0.122
O  0.750  0.983  0.837
Dy  0.750  0.862  0.556
O  0.750  0.237  0.772
Dy  0.750  0.394  0.278
O  0.750  0.483  0.663
Co  0.250  0.682  0.378
O  0.250  0.263  0.272
Dy  0.750  0.894  0.222
O  0.250  0.989  0.603
O  0.250  0.763  0.228
O  0.250  0.720  0.539
O  0.750  0.511  0.103
Dy  0.250  0.638  0.056
O  0.750  0.011  0.397
Dy  0.250  0.138  0.444
Dy  0.750  0.362  0.944
Dy  0.250  0.606  0.722
O  0.250  0.220  0.961
Co  0.750  0.818  0.878
O  0.250  0.017  0.163
Dy  0.250  0.106  0.778
O  0.250  0.489  0.897
O  0.250  0.259  0.620